No. 1
Material: PuCu9Pd2
Method: DFT, PBE
State: relaxed

a = 4.971 Å, b = 4.971 Å, c = 8.384 Å
α = 72.75°, β = 72.75°, γ = 60.00°
Positions (direct):
Pu: 0.000 0.000 0.000
Cu: 0.666 0.666 0.002
Cu: 0.334 0.334 0.998
Cu: 0.500 0.500 0.500
Cu: 0.411 0.411 0.260
Cu: 0.919 0.411 0.260
Cu: 0.411 0.919 0.260
Cu: 0.589 0.589 0.740
Cu: 0.589 0.081 0.740
Cu: 0.081 0.589 0.740
Pd: 0.855 0.855 0.434
Pd: 0.145 0.145 0.566

Computed properties:
Symmetry: R-3m, No. 166
Density, g/cm3: 10.1
DFT formation energy, eV per formula unit: -0.88
D(E_F), states/eV/f.u.: 16.0
E, eV/atom: -5.2053

No. 2
Material: Pr7Tm2Sc
Method: DFT, PBE
State: relaxed

a = 5.455 Å, b = 9.569 Å, c = 9.569 Å
α = 124.24°, β = 90.00°, γ = 90.00°
Positions (direct):
Pr: 0.000 0.797 0.203
Pr: 0.000 0.203 0.797
Pr: 0.500 0.070 0.289
Pr: 0.500 0.930 0.711
Pr: 0.500 0.289 0.070
Pr: 0.500 0.711 0.930
Pr: 0.500 0.500 0.500
Tm: 0.500 0.705 0.295
Tm: 0.500 0.295 0.705
Sc: 0.000 0.000 0.000

Computed properties:
Symmetry: Cmmm, No. 65
Density, g/cm3: 5.5
DFT formation energy, eV per formula unit: 6.46
D(E_F), states/eV/f.u.: 15.5
E, eV/atom: -4.2274

No. 3
Material: Ta4CoAg
Method: DFT, PBE
State: relaxed

a = 5.377 Å, b = 5.377 Å, c = 5.377 Å
α = 60.00°, β = 60.00°, γ = 60.00°
Positions (direct):
Ta: 0.877 0.374 0.374
Ta: 0.374 0.374 0.877
Ta: 0.374 0.877 0.374
Ta: 0.374 0.374 0.374
Co: 0.000 0.000 0.000
Ag: 0.750 0.750 0.750

Computed properties:
Symmetry: F-43m, No. 216
Density, g/cm3: 13.5
DFT formation energy, eV per formula unit: 4.00
D(E_F), states/eV/f.u.: 5.3
E, eV/atom: -8.8953